[1]
Compound: Nd2CoPb
Source: the Alexandria database
Functional: PBE
Structure: optimized geometry

Cell lengths 3.5145, 3.5145, 8.3310 Å; angles 90.00, 90.00, 90.00 degrees
Positions (direct):
Nd: 0.0000 0.0000 0.2046
Nd: 0.0000 0.0000 0.7954
Pb: 0.5000 0.5000 0.5000
Co: 0.5000 0.5000 0.0000

Properties
- Energy of formation: -0.22 eV per atom
- Crystal system: tetragonal
- E above lowest polymorph: 0.00 eV/f.u.
- Magnetic moment: 0.106 μB/atom

=====

[2]
Compound: Ba2Te2As
Source: the Alexandria database
Functional: PBE
Structure: optimized geometry

Cell lengths 8.7569, 8.7569, 4.7819 Å; angles 90.00, 90.00, 90.00 degrees
Positions (direct):
As: 0.5000 0.5000 0.0000
As: 0.0000 0.0000 0.0000
Ba: 0.6573 0.8427 0.5000
Ba: 0.1573 0.6573 0.5000
Ba: 0.8427 0.3427 0.5000
Ba: 0.3427 0.1573 0.5000
Te: 0.3423 0.8423 0.0000
Te: 0.8423 0.6577 0.0000
Te: 0.1577 0.3423 0.0000
Te: 0.6577 0.1577 0.0000

Properties
- Energy relative to the elements, uncorrected: -1.02 eV per atom
- Crystal system: tetragonal
- E above lowest polymorph: 0.00 eV/f.u.
- Magnetic moment: 0.000 μB/atom

=====

[3]
Compound: SbPdSeI2
Source: the Alexandria database
Functional: PBE
Structure: optimized geometry

Cell lengths 5.3740, 5.3740, 5.3203 Å; angles 90.00, 90.00, 90.00 degrees
Positions (direct):
Se: 0.5000 0.5000 0.5000
I: 0.0000 0.5000 0.0000
I: 0.5000 0.0000 0.0000
Sb: 0.0000 0.0000 0.5000
Pd: 0.0000 0.0000 0.0000

Properties
- Energy relative to the elements, uncorrected: 0.40 eV per atom
- Crystal system: tetragonal
- E above lowest polymorph: 0.00 eV/f.u.
- Magnetic moment: 0.000 μB/atom

=====

[4]
Compound: PmU2SiC4
Source: the Alexandria database
Functional: PBE
Structure: optimized geometry

Cell lengths 3.5535, 6.0096, 11.5649 Å; angles 90.00, 90.00, 107.20 degrees
Positions (direct):
Pm: 0.1039 0.2077 0.7500
Pm: 0.8961 0.7923 0.2500
U: 0.6278 0.2557 0.4497
U: 0.3722 0.7443 0.9497
U: 0.6278 0.2557 0.0503
U: 0.3722 0.7443 0.5503
C: 0.7397 0.4794 0.8800
C: 0.5766 0.1532 0.2500
C: 0.0000 0.0000 0.5000
C: 0.4234 0.8468 0.7500
C: 0.2603 0.5206 0.1200
C: 0.7397 0.4794 0.6200
C: 0.2603 0.5206 0.3800
C: 0.0000 0.0000 0.0000
Si: 0.8369 0.6738 0.7500
Si: 0.1631 0.3262 0.2500

Properties
- Energy relative to the elements, uncorrected: -0.14 eV per atom
- Crystal system: orthorhombic
- Magnetic moment: 0.287 μB/atom

=====

[5]
Compound: La2Zn4Si3Ge
Source: the Alexandria database
Functional: PBE
Structure: optimized geometry

Cell lengths 4.4140, 4.4140, 9.9399 Å; angles 90.00, 90.00, 90.00 degrees
Positions (direct):
Zn: 0.0000 0.5000 0.3729
Zn: 0.0000 0.0000 0.0000
Zn: 0.5000 0.0000 0.6271
Zn: 0.5000 0.5000 0.0000
La: 0.0000 0.5000 0.7473
La: 0.5000 0.0000 0.2527
Si: 0.5000 0.0000 0.8694
Si: 0.0000 0.5000 0.1306
Si: 0.0000 0.0000 0.5000
Ge: 0.5000 0.5000 0.5000

Properties
- Energy relative to the elements, uncorrected: -0.41 eV per atom
- Crystal system: tetragonal
- Magnetic moment: 0.000 μB/atom

=====

[6]
Compound: AgRuN2
Source: the Alexandria database
Functional: PBE
Structure: optimized geometry

Cell lengths 3.9211, 3.9211, 3.9211 Å; angles 60.00, 60.00, 60.00 degrees
Positions (direct):
N: 0.7500 0.7500 0.7500
N: 0.2500 0.2500 0.2500
Ag: 0.5000 0.5000 0.5000
Ru: 0.0000 0.0000 0.0000

Properties
- Energy relative to the elements, uncorrected: 1.65 eV per atom
- Crystal system: cubic
- E above lowest polymorph: 4.14 eV/f.u.
- Magnetic moment: 0.244 μB/atom

=====

[7]
Compound: YZn3Os
Source: the Alexandria database
Functional: PBE
Structure: optimized geometry

Cell lengths 4.7492, 4.7492, 4.7492 Å; angles 90.00, 90.00, 90.00 degrees
Positions (direct):
Zn: 0.5000 0.0000 0.0000
Zn: 0.0000 0.0000 0.5000
Zn: 0.0000 0.5000 0.0000
Os: 0.0000 0.0000 0.0000
Y: 0.5000 0.5000 0.5000

Properties
- Energy of formation: 0.16 eV per atom
- Crystal system: cubic
- E above lowest polymorph: 0.00 eV/f.u.
- Magnetic moment: 0.000 μB/atom

=====

[8]
Compound: Pu2Ag6Pb
Source: the Alexandria database
Functional: PBE
Structure: optimized geometry

Cell lengths 6.8001, 5.8819, 5.8819 Å; angles 59.99, 89.91, 89.91 degrees
Positions (direct):
Pu: 0.1153 0.3333 0.3333
Pu: 0.8847 0.6667 0.6667
Ag: 0.6601 0.1758 0.6490
Ag: 0.3399 0.8242 0.3510
Ag: 0.3408 0.8242 0.8242
Ag: 0.6601 0.6490 0.1758
Ag: 0.3399 0.3510 0.8242
Ag: 0.6592 0.1758 0.1758
Pb: 0.0000 0.0000 0.0000

Properties
- Energy of formation: 0.06 eV per atom
- Crystal system: monoclinic
- Magnetic moment: 1.339 μB/atom

=====

[9]
Compound: CsRbAuF
Source: the Alexandria database
Functional: PBE
Structure: optimized geometry

Cell lengths 5.4832, 5.4832, 10.4724 Å; angles 90.00, 90.00, 90.00 degrees
Positions (direct):
F: 0.0000 0.5000 0.4024
F: 0.5000 0.0000 0.5976
Rb: 0.5000 0.0000 0.8494
Rb: 0.0000 0.5000 0.1506
Au: 0.5000 0.0000 0.1875
Au: 0.0000 0.5000 0.8125
Cs: 0.5000 0.5000 0.5000
Cs: 0.0000 0.0000 0.5000

Properties
- Energy relative to the elements, uncorrected: -1.44 eV per atom
- Crystal system: tetragonal
- E above lowest polymorph: 0.00 eV/f.u.
- Magnetic moment: 0.000 μB/atom

=====

[10]
Compound: YTh2Ru2
Source: the Alexandria database
Functional: PBE
Structure: optimized geometry

Cell lengths 3.8637, 6.6648, 10.2209 Å; angles 79.85, 79.11, 73.15 degrees
Positions (direct):
Y: 0.2999 0.0380 0.3621
Y: 0.7001 0.9620 0.6379
Th: 0.0559 0.5910 0.2972
Th: 0.9441 0.4090 0.7028
Th: 0.1633 0.7501 0.9233
Th: 0.8367 0.2499 0.0767
Ru: 0.4713 0.1696 0.8878
Ru: 0.3794 0.6662 0.5749
Ru: 0.6206 0.3338 0.4251
Ru: 0.5287 0.8304 0.1122

Properties
- Energy of formation: -0.36 eV per atom
- Crystal system: monoclinic
- Magnetic moment: 0.000 μB/atom

=====

[11]
Compound: CaAcO4
Source: the Alexandria database
Functional: PBE
Structure: optimized geometry

Cell lengths 4.1977, 4.0633, 6.8403 Å; angles 97.90, 90.00, 121.10 degrees
Positions (direct):
O: 0.8037 0.6074 0.6827
O: 0.1070 0.2140 0.3948
O: 0.6656 0.3311 0.8083
O: 0.4076 0.8152 0.1129
Ac: 0.0551 0.1103 0.0381
Ca: 0.4609 0.9218 0.4631

Properties
- Energy relative to the elements, uncorrected: -2.31 eV per atom
- Crystal system: monoclinic
- Magnetic moment: 0.170 μB/atom

=====

[12]
Compound: RbNbI3
Source: the Alexandria database
Functional: PBE
Structure: optimized geometry

Cell lengths 6.5447, 6.5447, 6.5447 Å; angles 90.00, 90.00, 90.00 degrees
Positions (direct):
I: 0.0000 0.5000 0.0000
I: 0.0000 0.0000 0.5000
I: 0.5000 0.0000 0.0000
Nb: 0.5000 0.5000 0.5000
Rb: 0.0000 0.0000 0.0000

Properties
- Energy relative to the elements, uncorrected: 0.78 eV per atom
- Crystal system: cubic
- E above lowest polymorph: 6.56 eV/f.u.
- Magnetic moment: 0.600 μB/atom